BaHf3H after structural relaxation. Source: Alexandria via LeMat-Bulk, functional PBE.

Structure (POSCAR):
```
BaHf3H
1.0
5.385 0.000 0.000
0.000 5.385 0.000
0.000 0.000 5.385
Ba Hf H
1 3 1
direct
0.000 0.000 0.000
0.000 0.000 0.500
0.000 0.500 0.000
0.500 0.000 0.000
0.500 0.500 0.500
```

Computed properties:
Energy above the most stable polymorph in this dataset (kcal/mol of atoms): 51.11
D(E_F) (states/eV/atom): 2.076
Crystal system: cubic